Entry 1:
## Cu2As (GGA-PBE)

Data for crystalline Cu2As at its relaxed geometry.

Cell: 3.8308 3.8308 5.9010 Å, 90.00 90.00 90.00°
Space group P4/nmm (No. 129, origin choice 2)
Symmetry-distinct sites (fractional):
Cu1 0.2500 0.2500 0.2010 x2
Cu2 0.2500 0.7500 0.5000 x2
As1 0.2500 0.2500 0.7877 x2

Properties
Spin magnetization   0.00 μB/atom
Energy relative to the elements   19 meV/atom
Density of states at the Fermi level   0.393 states/eV per atom
DFT total energy   -12.79 eV/f.u.

Entry 2:
## NaTlZn2 (GGA-PBE)

Data for crystalline NaTlZn2 at its relaxed geometry.

Cell: 8.0974 8.0974 6.0407 Å, 90.00 90.00 90.00°
Space group I-42d (No. 122)
Symmetry-distinct sites (fractional):
Na1 0.0000 0.0000 0.0000 x4
Tl1 0.0000 0.0000 0.5000 x4
Zn1 0.2323 0.2500 0.6250 x8

Properties
Spin magnetization   0.00 μB/atom
Energy relative to the elements   202 meV/atom
Density of states at the Fermi level   0.412 states/eV per atom
DFT total energy   -5.43 eV/f.u.

Entry 3:
## K2TlPt2 (GGA-PBE)

Data for crystalline K2TlPt2 at its relaxed geometry.

Cell: 10.4359 6.6338 8.2916 Å, 90.00 100.62 90.00°
Space group C2/c (No. 15)
Symmetry-distinct sites (fractional):
K1 0.1444 0.1303 0.1371 x8
Tl1 0.0000 0.4231 0.7500 x4
Pt1 0.1449 0.3488 0.5091 x8

Properties
Spin magnetization   0.00 μB/atom
Energy relative to the elements   -179 meV/atom
Polymorph energy (0 for the lowest one)   0.0 kJ/mol of atoms
Density of states at the Fermi level   0.364 states/eV per atom
DFT total energy   -17.54 eV/f.u.

Entry 4:
## AlSiAu (GGA-PBE)

Data for crystalline AlSiAu at its relaxed geometry.

Cell: 6.3831 3.6724 10.1224 Å, 90.00 102.27 90.00°
Space group Cm (No. 8)
Symmetry-distinct sites (fractional):
Al1 0.0000 0.0000 0.0000 x2
Al2 0.0563 0.5000 0.6740 x2
Si1 0.3323 0.5000 0.4991 x2
Si2 0.4647 0.0000 0.3957 x2
Au1 0.2778 0.0000 0.8375 x2
Au2 0.3826 0.0000 0.1481 x2

Properties
Spin magnetization   0.00 μB/atom
Formation energy (no corrections)   -0.0857 eV/atom
Density of states at the Fermi level   0.236 states/eV per atom
DFT total energy   -12.70 eV/f.u.

Entry 5:
## Ho2Tl3ZnTe6 (GGA-PBE)

Data for crystalline Ho2Tl3ZnTe6 at its relaxed geometry.

Cell: 7.6067 13.1977 8.3239 Å, 90.00 108.15 90.00°
Space group C2/m (No. 12)
Symmetry-distinct sites (fractional):
Ho1 0.0000 0.1638 0.0000 x4
Tl1 0.0000 0.0000 0.5000 x2
Tl2 0.0000 0.3240 0.5000 x4
Zn1 0.0000 0.5000 0.0000 x2
Te1 0.2265 0.3405 0.2058 x8
Te2 0.2488 0.0000 0.2174 x4

Properties
Spin magnetization   0.00 μB/atom
Formation energy (no corrections)   -0.7197 eV/atom
Density of states at the Fermi level   0.559 states/eV per atom
DFT total energy   -45.01 eV/f.u.

Entry 6:
## HfPdPb2 (GGA-PBE)

Data for crystalline HfPdPb2 at its relaxed geometry.

Cell: 7.1234 7.1234 7.1234 Å, 90.00 90.00 90.00°
Space group Fm-3m (No. 225)
Symmetry-distinct sites (fractional):
Hf1 0.0000 0.0000 0.0000 x4
Pd1 0.0000 0.0000 0.5000 x4
Pb1 0.2500 0.2500 0.2500 x8

Properties
Spin magnetization   0.00 μB/atom
Energy relative to the elements   121 meV/atom
Polymorph energy (0 for the lowest one)   0.0 kJ/mol of atoms
Density of states at the Fermi level   0.615 states/eV per atom
DFT total energy   -22.08 eV/f.u.